Entry 1:
The following is a PBE-GGA calculation of a geometry-optimized Tm2AlCr structure, from Alexandria.

a b c (Å): 3.5163 3.5163 7.1420
angles (deg): 90.00 90.00 90.00
Closest atoms and distances in Å follow each position.
Positions (direct):
1 Cr 0.5000 0.5000 0.0000  8 Tm 3.02
2 Tm 0.0000 0.0000 0.7604  4 Cr 3.02, 4 Al 3.11
3 Tm 0.0000 0.0000 0.2396  4 Cr 3.02, 4 Al 3.11
4 Al 0.5000 0.5000 0.5000  8 Tm 3.11

Summary:
* ρ: 7838 kg/m3
* ΔE_f: -0.0393 eV per atom

***

Entry 2:
The following is a PBE-GGA calculation of a geometry-optimized LiZnCd2Au2 structure, from Alexandria.

a b c (Å): 4.5123 5.7087 8.5718
angles (deg): 90.00 90.00 90.00
Closest atoms and distances in Å follow each position.
Positions (direct):
1 Li 0.0000 0.9709 0.4869  5 Au 2.81-2.95, 2 Li 2.86, 1 Cd 2.96, 4 Zn 3.05-3.07
2 Li 0.0000 0.4709 0.5131  5 Au 2.81-2.95, 2 Li 2.86, 1 Cd 2.96, 4 Zn 3.05-3.07
3 Zn 0.5000 0.1965 0.6737  4 Au 2.58-2.80
4 Zn 0.5000 0.6965 0.3263  4 Au 2.58-2.80
5 Cd 0.5000 0.0495 0.0273  6 Cd 2.89-3.19, 5 Au 2.96-3.21, 1 Zn 3.15
6 Cd 0.0000 0.3139 0.1837  5 Au 2.79-3.10, 1 Li 2.96, 2 Cd 3.03
7 Cd 0.5000 0.5495 0.9727  6 Cd 2.89-3.19, 5 Au 2.96-3.21, 1 Zn 3.15
8 Cd 0.0000 0.8139 0.8163  5 Au 2.79-3.10, 1 Li 2.96, 2 Cd 3.03
9 Au 0.0000 0.3029 0.8218  2 Zn 2.66, 4 Cd 2.79-2.96, 1 Li 2.81
10 Au 0.5000 0.2120 0.3735  2 Zn 2.58-2.80, 2 Li 2.82, 2 Cd 2.84
11 Au 0.0000 0.8029 0.1782  2 Zn 2.66, 4 Cd 2.79-2.96, 1 Li 2.81
12 Au 0.5000 0.7120 0.6265  2 Zn 2.58-2.80, 2 Li 2.82, 2 Cd 2.84

Summary:
* ρ: 10395 kg/m3
* ΔE_f: -0.2657 eV per atom

***

Entry 3:
The following is a PBE-GGA calculation of a geometry-optimized NpZn4Au5 structure, from Alexandria.

a b c (Å): 3.1780 3.1780 17.2450
angles (deg): 90.00 90.00 90.00
Closest atoms and distances in Å follow each position.
Positions (direct):
1 Np 0.0000 0.0000 0.0000  8 Au 3.15, 4 Np 3.18
2 Zn 0.0000 0.0000 0.2202  8 Au 2.75-2.77
3 Zn 0.0000 0.0000 0.4071  8 Au 2.76
4 Zn 0.0000 0.0000 0.5929  8 Au 2.76
5 Zn 0.0000 0.0000 0.7798  8 Au 2.75-2.77
6 Au 0.5000 0.5000 0.1281  4 Zn 2.75
7 Au 0.5000 0.5000 0.3138  8 Zn 2.76-2.77
8 Au 0.5000 0.5000 0.5000  8 Zn 2.76
9 Au 0.5000 0.5000 0.6862  8 Zn 2.76-2.77
10 Au 0.5000 0.5000 0.8719  4 Zn 2.75

Summary:
* ρ: 14144 kg/m3
* ΔE_f: -0.1881 eV per atom

***

Entry 4:
The following is a PBE-GGA calculation of a geometry-optimized Sn6Te3SeS2 structure, from Alexandria.

a b c (Å): 7.5483 7.5483 7.5198
angles (deg): 99.62 99.62 120.06
Closest atoms and distances in Å follow each position.
Positions (direct):
1 Sn 0.9244 0.5844 0.7729  2 S 2.96-2.97, 1 Se 3.03, 3 Te 3.16-3.19
2 Sn 0.7351 0.7351 0.2255  2 S 2.97, 1 Se 3.02, 3 Te 3.14-3.18
3 Sn 0.0756 0.4156 0.2271  2 S 2.96-2.97, 1 Se 3.03, 3 Te 3.16-3.19
4 Sn 0.5844 0.9244 0.7729  2 S 2.96-2.97, 1 Se 3.03, 3 Te 3.16-3.19
5 Sn 0.2649 0.2649 0.7745  2 S 2.97, 1 Se 3.02, 3 Te 3.14-3.18
6 Sn 0.4156 0.0756 0.2271  2 S 2.96-2.97, 1 Se 3.03, 3 Te 3.16-3.19
7 Te 0.1639 0.8361 0.5000  6 Sn 3.16-3.19
8 Te 0.8361 0.1639 0.5000  6 Sn 3.16-3.19
9 Te 0.5000 0.5000 0.5000  6 Sn 3.14-3.19
10 Se 0.0000 0.0000 0.0000  6 Sn 3.02-3.03
11 S 0.3323 0.6677 0.0000  6 Sn 2.96-2.97
12 S 0.6677 0.3323 0.0000  6 Sn 2.96-2.97

Summary:
* ρ: 5884 kg/m3
* formation energy from raw total energies: -32 kJ/mol of atoms

***

Entry 5:
The following is a PBE-GGA calculation of a geometry-optimized NpTlAg2Br8 structure, from Alexandria.

a b c (Å): 7.7822 7.7822 8.9489
angles (deg): 90.00 90.00 120.00
Closest atoms and distances in Å follow each position.
Positions (direct):
1 Np 0.0000 0.0000 0.0000  6 Br 2.71
2 Tl 0.0000 0.0000 0.5000  6 Br 3.57
3 Ag 0.3333 0.6667 0.6516  4 Br 2.49-2.77
4 Ag 0.6667 0.3333 0.3484  4 Br 2.49-2.77
5 Br 0.1603 0.3206 0.8182  1 Np 2.71, 1 Ag 2.77
6 Br 0.1603 0.8397 0.8182  1 Np 2.71, 1 Ag 2.77
7 Br 0.6794 0.8397 0.8182  1 Np 2.71, 1 Ag 2.77
8 Br 0.3206 0.1603 0.1818  1 Np 2.71, 1 Ag 2.77
9 Br 0.6667 0.3333 0.6265  1 Ag 2.49
10 Br 0.3333 0.6667 0.3735  1 Ag 2.49
11 Br 0.8397 0.6794 0.1818  1 Np 2.71, 1 Ag 2.77
12 Br 0.8397 0.1603 0.1818  1 Np 2.71, 1 Ag 2.77

Summary:
* ρ: 4586 kg/m3
* formation energy from raw total energies: -66 kJ/mol of atoms

***

Entry 6:
The following is a PBE-GGA calculation of a geometry-optimized HfAsW3 structure, from Alexandria.

a b c (Å): 4.6139 4.6139 4.6139
angles (deg): 90.00 90.00 90.00
Closest atoms and distances in Å follow each position.
Positions (direct):
1 As 0.0000 0.0000 0.0000  6 W 2.31
2 Hf 0.5000 0.5000 0.5000  12 W 3.26
3 W 0.0000 0.5000 0.0000  2 As 2.31
4 W 0.0000 0.0000 0.5000  2 As 2.31
5 W 0.5000 0.0000 0.0000  2 As 2.31

Summary:
* ρ: 13608 kg/m3
* excess energy over the best structure of this formula in the dataset: 0.0 kJ/mol of atoms
* ΔE_f: 1.1362 eV per atom

***

Entry 7:
The following is a PBE-GGA calculation of a geometry-optimized Tc5Ru structure, from Alexandria.

a b c (Å): 5.0418 5.0418 5.0418
angles (deg): 60.00 60.00 60.00
Closest atoms and distances in Å follow each position.
Positions (direct):
1 Tc 0.8758 0.3747 0.3747  6 Tc 2.52-2.53
2 Tc 0.7500 0.7500 0.7500  12 Tc 2.96, 4 Ru 3.09
3 Tc 0.3747 0.8758 0.3747  6 Tc 2.52-2.53
4 Tc 0.3747 0.3747 0.3747  6 Tc 2.52-2.53
5 Tc 0.3747 0.3747 0.8758  6 Tc 2.52-2.53
6 Ru 0.0000 0.0000 0.0000  16 Tc 2.96-3.09

Summary:
* ρ: 10830 kg/m3
* excess energy over the best structure of this formula in the dataset: 30.8 kJ/mol of atoms
* ΔE_f: 0.2955 eV per atom

***

Entry 8:
The following is a PBE-GGA calculation of a geometry-optimized Th2Zn6Cu9 structure, from Alexandria.

a b c (Å): 5.2423 5.2423 12.1579
angles (deg): 90.00 90.00 120.00
Closest atoms and distances in Å follow each position.
Positions (direct):
1 Th 0.0000 0.0000 0.6748  6 Zn 3.03, 12 Cu 3.25-3.37
2 Th 0.0000 0.0000 0.3252  6 Zn 3.03, 12 Cu 3.25-3.37
3 Zn 0.3333 0.6667 0.0000  6 Cu 2.53
4 Zn 0.6667 0.3333 0.0000  6 Cu 2.53
5 Zn 0.3333 0.6667 0.6652  6 Cu 2.51-2.54
6 Zn 0.6667 0.3333 0.6652  6 Cu 2.51-2.54
7 Zn 0.6667 0.3333 0.3348  6 Cu 2.51-2.54
8 Zn 0.3333 0.6667 0.3348  6 Cu 2.51-2.54
9 Cu 0.5000 0.0000 0.8331  4 Zn 2.53-2.54, 4 Cu 2.62
10 Cu 0.0000 0.5000 0.8331  4 Zn 2.53-2.54, 4 Cu 2.62
11 Cu 0.5000 0.5000 0.8331  4 Zn 2.53-2.54, 4 Cu 2.62
12 Cu 0.5000 0.0000 0.1669  4 Zn 2.53-2.54, 4 Cu 2.62
13 Cu 0.0000 0.5000 0.1669  4 Zn 2.53-2.54, 4 Cu 2.62
14 Cu 0.5000 0.5000 0.1669  4 Zn 2.53-2.54, 4 Cu 2.62
15 Cu 0.5000 0.0000 0.5000  4 Zn 2.51, 4 Cu 2.62
16 Cu 0.0000 0.5000 0.5000  4 Zn 2.51, 4 Cu 2.62
17 Cu 0.5000 0.5000 0.5000  4 Zn 2.51, 4 Cu 2.62

Summary:
* ρ: 8197 kg/m3
* ΔE_f: -0.0432 eV per atom

***

Entry 9:
The following is a PBE-GGA calculation of a geometry-optimized TbNdTe2O8 structure, from Alexandria.

a b c (Å): 6.3347 6.3347 6.3347
angles (deg): 107.36 107.36 113.78
Closest atoms and distances in Å follow each position.
Positions (direct):
1 Tb 0.0000 0.0000 0.0000  8 O 2.37-2.49
2 Nd 0.2500 0.7500 0.5000  8 O 2.42-2.52
3 Te 0.7500 0.2500 0.5000  4 O 1.97
4 Te 0.5000 0.5000 0.0000  4 O 1.93
5 O 0.3637 0.0522 0.3116  1 Te 1.97
6 O 0.3016 0.4820 0.1805  1 Te 1.93
7 O 0.3016 0.1211 0.8195  1 Te 1.93
8 O 0.7406 0.0522 0.6884  1 Te 1.97
9 O 0.8789 0.6984 0.1805  1 Te 1.93
10 O 0.9478 0.2594 0.3116  1 Te 1.97
11 O 0.9478 0.6363 0.6884  1 Te 1.97
12 O 0.5180 0.6984 0.8195  1 Te 1.93

Summary:
* ρ: 5850 kg/m3
* formation energy from raw total energies: -186 kJ/mol of atoms

***

Entry 10:
The following is a PBE-GGA calculation of a geometry-optimized AgHgSeI structure, from Alexandria.

a b c (Å): 4.0823 4.5629 7.3654
angles (deg): 83.16 73.91 63.43
Closest atoms and distances in Å follow each position.
Positions (direct):
1 Ag 0.5591 0.8123 0.0695  3 I 2.88-2.99, 2 Se 2.88
2 Hg 0.0071 0.3355 0.6504  3 Se 2.65-2.77
3 Se 0.2413 0.7320 0.7854  3 Hg 2.65-2.77, 2 Ag 2.88
4 I 0.7567 0.2082 0.2784  3 Ag 2.88-2.99

Summary:
* ρ: 7244 kg/m3
* formation energy from raw total energies: -11 kJ/mol of atoms

***

Entry 11:
The following is a PBE-GGA calculation of a geometry-optimized Ac7Si2Sn structure, from Alexandria.

a b c (Å): 5.3016 5.3016 13.5816
angles (deg): 101.26 101.26 90.00
Closest atoms and distances in Å follow each position.
Positions (direct):
1 Ac 0.1044 0.6044 0.2088  2 Si 3.28
2 Ac 0.3956 0.8956 0.7912  2 Si 3.28
3 Ac 0.6044 0.1044 0.2088  2 Si 3.28
4 Ac 0.5000 0.5000 0.0000  4 Sn 3.75, 8 Ac 3.80
5 Ac 0.7500 0.2500 0.5000  4 Si 3.24
6 Ac 0.8956 0.3956 0.7912  2 Si 3.28
7 Ac 0.2500 0.7500 0.5000  4 Si 3.24
8 Si 0.6785 0.6785 0.3569  8 Ac 3.24-3.28
9 Si 0.3215 0.3215 0.6431  8 Ac 3.24-3.28
10 Sn 0.0000 0.0000 0.0000  12 Ac 3.75-3.80

Summary:
* ρ: 7983 kg/m3
* formation energy from raw total energies: -25 kJ/mol of atoms

***

Entry 12:
The following is a PBE-GGA calculation of a geometry-optimized BeInN2 structure, from Alexandria.

a b c (Å): 3.8558 3.8558 3.8558
angles (deg): 60.00 60.00 60.00
Closest atoms and distances in Å follow each position.
Positions (direct):
1 Be 0.0000 0.0000 0.0000  8 N 2.36
2 N 0.2500 0.2500 0.2500  4 In 2.36, 4 Be 2.36
3 N 0.7500 0.7500 0.7500  4 In 2.36, 4 Be 2.36
4 In 0.5000 0.5000 0.5000  8 N 2.36

Summary:
* ρ: 6220 kg/m3
* formation energy from raw total energies: 114 kJ/mol of atoms
* excess energy over the best structure of this formula in the dataset: 107.0 kJ/mol of atoms

***

no.,spin magnetization (μB per formula unit),DOS at the Fermi energy (states/eV/atom)
1,2.936,0.9506
2,0.000,0.3519
3,4.321,0.6838
4,0.000,0.0289
5,1.788,1.0788
6,0.000,1.4946
7,0.000,0.8617
8,0.000,0.5864
9,0.000,0.1606
10,0.000,0.1238
11,0.000,1.2853
12,0.000,0.5500